(1)
Below is TiP2PtO at its PBEsol-relaxed geometry, with properties calculated at the meta-GGA SCAN level.

Values from the calculation:
E = -22.437 eV per atom

Unit cell a=4.7061 b=4.7061 c=3.7280 alpha=90.00 beta=90.00 gamma=90.00
Last column: nearest neighbours and their distance in Å.
Sites, in units of the cell vectors:
Ti  0.0000  0.0000  0.0000  8 P 3.00, 4 O 3.33
P  0.0000  0.5000  0.5000  2 Pt 2.35
P  0.5000  0.0000  0.5000  2 Pt 2.35
Pt  0.5000  0.5000  0.5000  2 O 1.86
O  0.5000  0.5000  0.0000  2 Pt 1.86

***

(2)
Below is TlPPtO2 at its PBEsol-relaxed geometry, with properties calculated at the meta-GGA SCAN level.

Values from the calculation:
E = -32.204 eV per atom

Unit cell a=3.8288 b=3.8288 c=6.5652 alpha=90.00 beta=90.00 gamma=90.00
Last column: nearest neighbours and their distance in Å.
Sites, in units of the cell vectors:
Tl  0.0000  0.0000  0.0000  4 O 1.91
P  0.0000  0.0000  0.5000  4 Pt 2.71
Pt  0.5000  0.5000  0.5000  4 P 2.71
O  0.0000  0.5000  0.0000  2 Tl 1.91
O  0.5000  0.0000  0.0000  2 Tl 1.91

***

Record-wise uncorrected formation energy values, in eV per formula unit: 1.069; 4.394